Record 1
# BaLa2CoP, relaxed, DFT PBE
# ΔH_f (0 K), kJ/mol of formula units: 517
# SG: P4/mmm
# Size of the total moment, μB/cell: 0.34
# Electronic total energy, eV per atom: -3.7878
data_BaLa2CoP
_space_group_name_H-M_alt 'P 1'
_space_group_IT_number 1
_space_group_name_Hall 'P 1'
_cell_length_a 5.840
_cell_length_b 5.840
_cell_length_c 4.576
_cell_angle_alpha 90.00
_cell_angle_beta 90.00
_cell_angle_gamma 90.00
loop_
_atom_site_label
_atom_site_type_symbol
_atom_site_fract_x
_atom_site_fract_y
_atom_site_fract_z
Ba1 Ba 0.000 0.000 0.000
La1 La 0.000 0.500 0.000
La2 La 0.500 0.000 0.000
Co1 Co 0.000 0.000 0.500
P1 P 0.500 0.500 0.500

=====

Record 2
# Dy2MgTi2Rh5, relaxed, DFT PBE
# ΔH_f (0 K), kJ/mol of formula units: -607
# SG: P4/mbm
# Size of the total moment, μB/cell: 0.00
# Electronic total energy, eV per atom: -6.9637
data_Dy2MgTi2Rh5
_space_group_name_H-M_alt 'P 1'
_space_group_IT_number 1
_space_group_name_Hall 'P 1'
_cell_length_a 10.119
_cell_length_b 10.119
_cell_length_c 3.494
_cell_angle_alpha 90.00
_cell_angle_beta 90.00
_cell_angle_gamma 90.00
loop_
_atom_site_label
_atom_site_type_symbol
_atom_site_fract_x
_atom_site_fract_y
_atom_site_fract_z
Dy1 Dy 0.177 0.323 0.000
Dy2 Dy 0.323 0.823 0.000
Dy3 Dy 0.677 0.177 0.000
Dy4 Dy 0.823 0.677 0.000
Mg1 Mg 0.000 0.000 0.000
Mg2 Mg 0.500 0.500 0.000
Ti1 Ti 0.123 0.623 0.000
Ti2 Ti 0.377 0.123 0.000
Ti3 Ti 0.623 0.877 0.000
Ti4 Ti 0.877 0.377 0.000
Rh1 Rh 0.000 0.500 0.500
Rh2 Rh 0.064 0.793 0.500
Rh3 Rh 0.207 0.064 0.500
Rh4 Rh 0.293 0.564 0.500
Rh5 Rh 0.436 0.293 0.500
Rh6 Rh 0.500 0.000 0.500
Rh7 Rh 0.564 0.707 0.500
Rh8 Rh 0.707 0.436 0.500
Rh9 Rh 0.793 0.936 0.500
Rh10 Rh 0.936 0.207 0.500

=====

Record 3
# Rb3Tm2I9, relaxed, DFT PBE
# SG: R-3c
# Uncorrected formation energy, eV/atom: -1.42
# Size of the total moment, μB/cell: 0.00
# Electronic total energy, eV per atom: -3.2647
data_Rb3Tm2I9
_space_group_name_H-M_alt 'P 1'
_space_group_IT_number 1
_space_group_name_Hall 'P 1'
_cell_length_a 11.078
_cell_length_b 11.078
_cell_length_c 11.078
_cell_angle_alpha 82.76
_cell_angle_beta 82.76
_cell_angle_gamma 82.76
loop_
_atom_site_label
_atom_site_type_symbol
_atom_site_fract_x
_atom_site_fract_y
_atom_site_fract_z
Rb1 Rb 0.074 0.750 0.426
Rb2 Rb 0.250 0.574 0.926
Rb3 Rb 0.426 0.074 0.750
Rb4 Rb 0.574 0.926 0.250
Rb5 Rb 0.750 0.426 0.074
Rb6 Rb 0.926 0.250 0.574
Tm1 Tm 0.155 0.155 0.155
Tm2 Tm 0.345 0.345 0.345
Tm3 Tm 0.655 0.655 0.655
Tm4 Tm 0.845 0.845 0.845
I1 I 0.080 0.918 0.731
I2 I 0.082 0.269 0.920
I3 I 0.090 0.410 0.250
I4 I 0.231 0.418 0.580
I5 I 0.250 0.090 0.410
I6 I 0.269 0.920 0.082
I7 I 0.410 0.250 0.090
I8 I 0.418 0.580 0.231
I9 I 0.420 0.769 0.582
I10 I 0.580 0.231 0.418
I11 I 0.582 0.420 0.769
I12 I 0.590 0.750 0.910
I13 I 0.731 0.080 0.918
I14 I 0.750 0.910 0.590
I15 I 0.769 0.582 0.420
I16 I 0.910 0.590 0.750
I17 I 0.918 0.731 0.080
I18 I 0.920 0.082 0.269

=====

Record 4
# Ho5Zn4Cd, relaxed, DFT PBE
# ΔH_f (0 K), kJ/mol of formula units: -328
# SG: P4/mmm
# Size of the total moment, μB/cell: 0.00
# Electronic total energy, eV per atom: -3.2294
data_Ho5Zn4Cd
_space_group_name_H-M_alt 'P 1'
_space_group_IT_number 1
_space_group_name_Hall 'P 1'
_cell_length_a 3.563
_cell_length_b 3.563
_cell_length_c 18.196
_cell_angle_alpha 90.00
_cell_angle_beta 90.00
_cell_angle_gamma 90.00
loop_
_atom_site_label
_atom_site_type_symbol
_atom_site_fract_x
_atom_site_fract_y
_atom_site_fract_z
Ho1 Ho 0.000 0.000 0.000
Ho2 Ho 0.000 0.000 0.194
Ho3 Ho 0.000 0.000 0.387
Ho4 Ho 0.000 0.000 0.613
Ho5 Ho 0.000 0.000 0.806
Zn1 Zn 0.500 0.500 0.097
Zn2 Zn 0.500 0.500 0.292
Zn3 Zn 0.500 0.500 0.708
Zn4 Zn 0.500 0.500 0.903
Cd1 Cd 0.500 0.500 0.500

=====

Record 5
# DyErRhPb, relaxed, DFT PBE
# ΔH_f (0 K), kJ/mol of formula units: -268
# SG: P4mm
# Size of the total moment, μB/cell: 0.00
# Electronic total energy, eV per atom: -5.7507
data_DyErRhPb
_space_group_name_H-M_alt 'P 1'
_space_group_IT_number 1
_space_group_name_Hall 'P 1'
_cell_length_a 3.474
_cell_length_b 3.474
_cell_length_c 7.983
_cell_angle_alpha 90.00
_cell_angle_beta 90.00
_cell_angle_gamma 90.00
loop_
_atom_site_label
_atom_site_type_symbol
_atom_site_fract_x
_atom_site_fract_y
_atom_site_fract_z
Dy1 Dy 0.000 0.000 0.000
Er1 Er 0.000 0.000 0.587
Rh1 Rh 0.500 0.500 0.790
Pb1 Pb 0.500 0.500 0.295

=====

Record 6
# Sm4Sb2SN2, relaxed, DFT PBE
# SG: C2/m
# Uncorrected formation energy, eV/atom: -1.34
# Size of the total moment, μB/cell: 0.00
# Electronic total energy, eV per atom: -6.6635
data_Sm4Sb2SN2
_space_group_name_H-M_alt 'P 1'
_space_group_IT_number 1
_space_group_name_Hall 'P 1'
_cell_length_a 7.745
_cell_length_b 7.745
_cell_length_c 7.926
_cell_angle_alpha 110.69
_cell_angle_beta 110.69
_cell_angle_gamma 31.14
loop_
_atom_site_label
_atom_site_type_symbol
_atom_site_fract_x
_atom_site_fract_y
_atom_site_fract_z
Sm1 Sm 0.027 0.027 0.283
Sm2 Sm 0.285 0.285 0.357
Sm3 Sm 0.715 0.715 0.643
Sm4 Sm 0.973 0.973 0.717
Sb1 Sb 0.393 0.393 0.961
Sb2 Sb 0.607 0.607 0.039
S1 S 0.500 0.500 0.500
N1 N 0.175 0.175 0.494
N2 N 0.825 0.825 0.506

=====

Record 7
# ThSiOs, relaxed, DFT PBE
# SG: P-6m2
# Uncorrected formation energy, eV/atom: -0.54
# Size of the total moment, μB/cell: 0.00
# Electronic total energy, eV per atom: -8.5664
data_ThSiOs
_space_group_name_H-M_alt 'P 1'
_space_group_IT_number 1
_space_group_name_Hall 'P 1'
_cell_length_a 4.205
_cell_length_b 4.205
_cell_length_c 4.107
_cell_angle_alpha 90.00
_cell_angle_beta 90.00
_cell_angle_gamma 120.00
loop_
_atom_site_label
_atom_site_type_symbol
_atom_site_fract_x
_atom_site_fract_y
_atom_site_fract_z
Th1 Th 0.000 0.000 0.000
Si1 Si 0.333 0.667 0.500
Os1 Os 0.667 0.333 0.500

=====

Record 8
# TlTcBi2, relaxed, DFT PBE
# ΔH_f (0 K), kJ/mol of formula units: 255
# SG: Fm-3m
# Size of the total moment, μB/cell: 2.00
# Electronic total energy, eV per atom: -4.4620
data_TlTcBi2
_space_group_name_H-M_alt 'P 1'
_space_group_IT_number 1
_space_group_name_Hall 'P 1'
_cell_length_a 5.243
_cell_length_b 5.243
_cell_length_c 5.243
_cell_angle_alpha 60.00
_cell_angle_beta 60.00
_cell_angle_gamma 60.00
loop_
_atom_site_label
_atom_site_type_symbol
_atom_site_fract_x
_atom_site_fract_y
_atom_site_fract_z
Tl1 Tl 0.000 0.000 0.000
Tc1 Tc 0.500 0.500 0.500
Bi1 Bi 0.250 0.250 0.250
Bi2 Bi 0.750 0.750 0.750

=====

Record 9
# SrY2Pb, relaxed, DFT PBE
# ΔH_f (0 K), kJ/mol of formula units: -12
# SG: R-3m
# Size of the total moment, μB/cell: 0.00
# Electronic total energy, eV per atom: -4.6101
data_SrY2Pb
_space_group_name_H-M_alt 'P 1'
_space_group_IT_number 1
_space_group_name_Hall 'P 1'
_cell_length_a 11.797
_cell_length_b 11.797
_cell_length_c 11.797
_cell_angle_alpha 18.17
_cell_angle_beta 18.17
_cell_angle_gamma 18.17
loop_
_atom_site_label
_atom_site_type_symbol
_atom_site_fract_x
_atom_site_fract_y
_atom_site_fract_z
Sr1 Sr 0.000 0.000 0.000
Y1 Y 0.240 0.240 0.240
Y2 Y 0.760 0.760 0.760
Pb1 Pb 0.500 0.500 0.500

=====

Record 10
# PrGdOs4, relaxed, DFT PBE
# ΔH_f (0 K), kJ/mol of formula units: -68
# SG: F-43m
# Size of the total moment, μB/cell: 6.57
# Electronic total energy, eV per atom: -10.7475
data_PrGdOs4
_space_group_name_H-M_alt 'P 1'
_space_group_IT_number 1
_space_group_name_Hall 'P 1'
_cell_length_a 5.424
_cell_length_b 5.424
_cell_length_c 5.424
_cell_angle_alpha 60.00
_cell_angle_beta 60.00
_cell_angle_gamma 60.00
loop_
_atom_site_label
_atom_site_type_symbol
_atom_site_fract_x
_atom_site_fract_y
_atom_site_fract_z
Pr1 Pr 0.000 0.000 0.000
Gd1 Gd 0.250 0.250 0.250
Os1 Os 0.126 0.625 0.625
Os2 Os 0.625 0.126 0.625
Os3 Os 0.625 0.625 0.126
Os4 Os 0.625 0.625 0.625

=====

Record 11
# Li2AcNpS4, relaxed, DFT PBE
# SG: P2/m
# Uncorrected formation energy, eV/atom: -1.53
# Size of the total moment, μB/cell: 4.00
# Electronic total energy, eV per atom: -6.2033
data_Li2AcNpS4
_space_group_name_H-M_alt 'P 1'
_space_group_IT_number 1
_space_group_name_Hall 'P 1'
_cell_length_a 6.680
_cell_length_b 4.118
_cell_length_c 7.197
_cell_angle_alpha 90.00
_cell_angle_beta 111.53
_cell_angle_gamma 90.00
loop_
_atom_site_label
_atom_site_type_symbol
_atom_site_fract_x
_atom_site_fract_y
_atom_site_fract_z
Li1 Li 0.000 0.000 0.000
Li2 Li 0.000 0.500 0.500
Ac1 Ac 0.500 0.000 0.500
Np1 Np 0.500 0.500 0.000
S1 S 0.238 0.500 0.227
S2 S 0.248 0.000 0.763
S3 S 0.752 0.000 0.237
S4 S 0.762 0.500 0.773

=====

Record 12
# LiErRuPb, relaxed, DFT PBE
# ΔH_f (0 K), kJ/mol of formula units: -85
# SG: F-43m
# Size of the total moment, μB/cell: 0.00
# Electronic total energy, eV per atom: -5.0864
data_LiErRuPb
_space_group_name_H-M_alt 'P 1'
_space_group_IT_number 1
_space_group_name_Hall 'P 1'
_cell_length_a 4.772
_cell_length_b 4.772
_cell_length_c 4.772
_cell_angle_alpha 60.00
_cell_angle_beta 60.00
_cell_angle_gamma 60.00
loop_
_atom_site_label
_atom_site_type_symbol
_atom_site_fract_x
_atom_site_fract_y
_atom_site_fract_z
Li1 Li 0.000 0.000 0.000
Er1 Er 0.250 0.250 0.250
Ru1 Ru 0.500 0.500 0.500
Pb1 Pb 0.750 0.750 0.750

=====

What is the size of the total moment in the fifth record? 0.00 μB/cell

=====

The lowest electronic total energy belongs to which entry? PrGdOs4